Density functional theory data (meta-GGA SCAN) for ZrAg2Hg at its PBEsol-relaxed geometry.

Output
- E_form (meV/atom) = -60.2
- V (Å³/cell) = 149.5
- M_tot (μB per formula unit) = 0.00

CIF file:
```
data_ZrAg2Hg
_chemical_formula_sum 'Zr2 Ag4 Hg2'
_cell_length_a 9.732
_cell_length_b 2.912
_cell_length_c 5.312
_cell_angle_alpha 90.00
_cell_angle_beta 96.98
_cell_angle_gamma 90.00
_space_group_name_H-M_alt 'C 1 2/m 1'
_space_group_IT_number 12
_space_group_name_Hall '-C 2y'
loop_
_atom_site_label
_atom_site_type_symbol
_atom_site_fract_x
_atom_site_fract_y
_atom_site_fract_z
Zr1 Zr 0.000 0.000 0.000
Ag1 Ag 0.250 0.000 0.756
Hg1 Hg 0.000 0.500 0.500
```